Version one
This record from the Open Quantum Materials Database describes an optimized crystal structure of BaHoRe. The functional is PBE-GGA.

The value obtained for the theoretical density is 9.17 g/cm3.

Cell: 5.0006 5.0006 5.0006 Å, 60.00 60.00 60.00°
Atoms (fractional coordinates):
Ba 0.0000 0.0000 0.0000
Ho 0.2500 0.2500 0.2500
Re 0.5000 0.5000 0.5000

=====

Version two
This record from the Open Quantum Materials Database describes an optimized crystal structure of BaHoRe. The functional is PBE-GGA.

The value obtained for the theoretical density is 9.60 g/cm3.

Cell: 4.9261 4.9261 4.9261 Å, 60.00 60.00 60.00°
Atoms (fractional coordinates):
Ba 0.0000 0.0000 0.0000
Ho 0.7500 0.7500 0.7500
Re 0.2500 0.2500 0.2500

=====

version one is the most stable structure shown above.